(1)
Crystalline Tm2ThMoC4 at its relaxed geometry, computed with PBE.

```
data_Tm2ThMoC4
_cell_length_a 6.295
_cell_length_b 6.295
_cell_length_c 12.054
_cell_angle_alpha 90.00
_cell_angle_beta 90.00
_cell_angle_gamma 147.65
_symmetry_space_group_name_H-M 'P 1'
_symmetry_Int_Tables_number 1
loop_
_symmetry_equiv_pos_as_xyz
'x,y,z'
loop_
_atom_site_label
_atom_site_type_symbol
_atom_site_fract_x
_atom_site_fract_y
_atom_site_fract_z
Tm1 Tm 0.130 0.870 0.540
Tm2 Tm 0.130 0.870 0.960
Tm3 Tm 0.870 0.130 0.040
Tm4 Tm 0.870 0.130 0.460
Th1 Th 0.400 0.600 0.750
Th2 Th 0.600 0.400 0.250
Mo1 Mo 0.338 0.662 0.250
Mo2 Mo 0.662 0.338 0.750
C1 C 0.067 0.933 0.750
C2 C 0.236 0.764 0.128
C3 C 0.236 0.764 0.372
C4 C 0.500 0.500 0.000
C5 C 0.500 0.500 0.500
C6 C 0.764 0.236 0.628
C7 C 0.764 0.236 0.872
C8 C 0.933 0.067 0.250
```

=====

(2)
Crystalline ThUMoC3 at its relaxed geometry, computed with PBE.

```
data_ThUMoC3
_cell_length_a 7.327
_cell_length_b 3.563
_cell_length_c 7.960
_cell_angle_alpha 90.00
_cell_angle_beta 96.93
_cell_angle_gamma 90.00
_symmetry_space_group_name_H-M 'P 1'
_symmetry_Int_Tables_number 1
loop_
_symmetry_equiv_pos_as_xyz
'x,y,z'
loop_
_atom_site_label
_atom_site_type_symbol
_atom_site_fract_x
_atom_site_fract_y
_atom_site_fract_z
Th1 Th 0.158 0.250 0.173
Th2 Th 0.842 0.750 0.827
U1 U 0.363 0.750 0.836
U2 U 0.637 0.250 0.164
Mo1 Mo 0.110 0.250 0.594
Mo2 Mo 0.890 0.750 0.406
C1 C 0.130 0.250 0.854
C2 C 0.176 0.750 0.488
C3 C 0.420 0.750 0.118
C4 C 0.580 0.250 0.882
C5 C 0.824 0.250 0.512
C6 C 0.870 0.750 0.146
```

=====

(3)
Crystalline ThU2MoC4 at its relaxed geometry, computed with PBE.

```
data_ThU2MoC4
_cell_length_a 6.273
_cell_length_b 6.273
_cell_length_c 11.473
_cell_angle_alpha 90.00
_cell_angle_beta 90.00
_cell_angle_gamma 147.07
_symmetry_space_group_name_H-M 'P 1'
_symmetry_Int_Tables_number 1
loop_
_symmetry_equiv_pos_as_xyz
'x,y,z'
loop_
_atom_site_label
_atom_site_type_symbol
_atom_site_fract_x
_atom_site_fract_y
_atom_site_fract_z
Th1 Th 0.115 0.885 0.750
Th2 Th 0.885 0.115 0.250
U1 U 0.371 0.629 0.549
U2 U 0.371 0.629 0.951
U3 U 0.629 0.371 0.049
U4 U 0.629 0.371 0.451
Mo1 Mo 0.146 0.854 0.250
Mo2 Mo 0.854 0.146 0.750
C1 C 0.000 0.000 0.000
C2 C 0.000 0.000 0.500
C3 C 0.265 0.735 0.116
C4 C 0.265 0.735 0.384
C5 C 0.456 0.544 0.750
C6 C 0.544 0.456 0.250
C7 C 0.735 0.265 0.616
C8 C 0.735 0.265 0.884
```

=====

Electronic total energy? In order: -8.153; -9.470; -9.780 eV/atom.
Energy relative to the elements? In order: -0.142; 0.065; -0.065 eV/atom.
Size of the total moment? In order: 0.000; 0.572; 0.000 μB/f.u..